No. 1
VASP calculation (PBEsol) on crystalline Nb8P5 at its relaxed geometry.

Structure (POSCAR):
```
Nb8P5
1.0
3.4103 0.0000 0.0000
0.0000 9.3286 0.0000
0.0000 0.0000 26.4094
Nb P
32 20
Direct
0.5000 0.2529 0.2366 Nb
0.0000 0.4996 0.7836 Nb
0.5000 0.4153 0.8787 Nb
0.5000 0.9794 0.4953 Nb
0.5000 0.5761 0.6268 Nb
0.0000 0.0004 0.2162 Nb
0.0000 0.1617 0.3269 Nb
0.5000 0.5847 0.3787 Nb
0.5000 0.7471 0.7366 Nb
0.5000 0.0794 0.8751 Nb
0.0000 0.5004 0.2836 Nb
0.5000 0.7444 0.9174 Nb
0.5000 0.4728 0.0017 Nb
0.0000 0.7488 0.0013 Nb
0.0000 0.3377 0.6743 Nb
0.5000 0.7520 0.2648 Nb
0.0000 0.2458 0.9471 Nb
0.5000 0.9206 0.3751 Nb
0.5000 0.2556 0.4174 Nb
0.5000 0.0824 0.1226 Nb
0.0000 0.2512 0.5013 Nb
0.5000 0.4239 0.1268 Nb
0.5000 0.5272 0.5017 Nb
0.5000 0.7509 0.0836 Nb
0.0000 0.8383 0.8269 Nb
0.5000 0.2480 0.7648 Nb
0.0000 0.6623 0.1743 Nb
0.0000 0.7542 0.4471 Nb
0.0000 0.9996 0.7162 Nb
0.5000 0.2491 0.5836 Nb
0.5000 0.9176 0.6226 Nb
0.5000 0.0206 0.9953 Nb
0.0000 0.2538 0.8372 P
0.0000 0.5439 0.0721 P
0.5000 0.9927 0.7857 P
0.0000 0.4561 0.5721 P
0.0000 0.9648 0.0648 P
0.0000 0.7462 0.3372 P
0.0000 0.0352 0.5648 P
0.5000 0.3565 0.3306 P
0.0000 0.5382 0.9354 P
0.5000 0.1414 0.6692 P
0.0000 0.7548 0.6624 P
0.5000 0.5070 0.2141 P
0.5000 0.0073 0.2857 P
0.0000 0.2452 0.1624 P
0.0000 0.0516 0.4278 P
0.0000 0.4618 0.4354 P
0.5000 0.8586 0.1692 P
0.5000 0.6435 0.8306 P
0.0000 0.9484 0.9278 P
0.5000 0.4930 0.7141 P
```

## Properties
Total moment (μB per formula unit): 0.00
Energy of formation (meV per atom): -850
Uncorrected energy (eV/atom): -9.737

No. 2
VASP calculation (PBEsol) on crystalline ScTi3Hg at its relaxed geometry.

Structure (POSCAR):
```
ScTi3Hg
1.0
-2.1616 -0.0765 4.0613
0.7449 -4.5300 0.3111
3.9932 0.8036 2.1404
Ti Sc Hg
3 1 1
Direct
0.0000 0.5000 0.0000 Ti
0.0000 0.0000 0.5000 Ti
0.5000 0.0000 0.0000 Ti
0.0000 0.0000 0.0000 Sc
0.5000 0.5000 0.5000 Hg
```

## Properties
Total moment (μB per formula unit): 1.17
Energy of formation (meV per atom): 1093
Uncorrected energy (eV/atom): -5.335

No. 3
VASP calculation (PBEsol) on crystalline MnReSi at its relaxed geometry.

Structure (POSCAR):
```
MnReSi
1.0
-0.2061 -1.2659 2.5035
0.3065 -2.5054 -1.2417
4.4382 2.1778 -0.1132
Mn Re Si
1 1 1
Direct
0.9887 0.9887 0.9770 Mn
0.6658 0.6658 0.3318 Re
0.3457 0.3457 0.6912 Si
```

## Properties
Uncorrected formation energy (meV/atom): -320
Total moment (μB per formula unit): 0.00
Uncorrected energy (eV/atom): -9.933

No. 4
VASP calculation (PBEsol) on crystalline MgHgPO2 at its relaxed geometry.

Structure (POSCAR):
```
MgHgPO2
1.0
-1.1856 3.7202 1.2471
-2.0225 0.5369 -3.5245
-4.1516 -2.0186 2.0749
O Hg P Mg
2 1 1 1
Direct
0.0000 0.5000 0.0000 O
0.5000 0.0000 0.0000 O
0.0000 0.0000 0.0000 Hg
0.0000 0.0000 0.5000 P
0.5000 0.5000 0.5000 Mg
```

## Properties
Uncorrected formation energy (meV/atom): 329
Total moment (μB per formula unit): 0.78
Uncorrected energy (eV/atom): -3.386

No. 5
VASP calculation (PBEsol) on crystalline La2IrCl at its relaxed geometry.

Structure (POSCAR):
```
La2IrCl
1.0
4.0103 0.0000 0.0000
0.0000 4.0103 0.0000
-2.0052 -2.0052 5.8005
Ir La Cl
1 2 1
Direct
0.2500 0.7500 0.5000 Ir
0.0000 0.0000 0.0000 La
0.7500 0.2500 0.5000 La
0.5000 0.5000 0.0000 Cl
```

## Properties
Uncorrected formation energy (meV/atom): -872
Total moment (μB per formula unit): 0.00
Uncorrected energy (eV/atom): -6.503

No. 6
VASP calculation (PBEsol) on crystalline LaCuSb2 at its relaxed geometry.

Structure (POSCAR):
```
LaCuSb2
1.0
-0.1825 -2.2542 -3.7042
4.3293 0.1138 -0.2825
0.5719 -8.6945 5.2629
Cu Sb La
2 4 2
Direct
0.5000 0.5000 0.0000 Cu
0.0000 0.0000 0.0000 Cu
0.5000 0.5000 0.5000 Sb
0.0000 0.5000 0.8520 Sb
0.0000 0.0000 0.5000 Sb
0.5000 0.0000 0.1480 Sb
0.5000 0.0000 0.7529 La
0.0000 0.5000 0.2471 La
```

## Properties
Uncorrected formation energy (meV/atom): -756
Total moment (μB per formula unit): 0.00
Uncorrected energy (eV/atom): -5.455

No. 7
VASP calculation (PBEsol) on crystalline NbFe2Co2 at its relaxed geometry.

Structure (POSCAR):
```
NbFe2Co2
1.0
3.5107 0.0000 0.0000
0.0000 3.5107 0.0000
-1.7553 -1.7553 4.8752
Co Nb Fe
2 1 2
Direct
0.2500 0.7500 0.5000 Co
0.7500 0.2500 0.5000 Co
0.0000 0.0000 0.0000 Nb
0.3971 0.3971 0.7941 Fe
0.6029 0.6029 0.2059 Fe
```

## Properties
Total moment (μB per formula unit): 1.46
Energy of formation (meV per atom): 196
Uncorrected energy (eV/atom): -8.648

No. 8
VASP calculation (PBEsol) on crystalline HfZr2CdC at its relaxed geometry.

Structure (POSCAR):
```
HfZr2CdC
1.0
-4.5580 -1.0545 -1.8426
-0.1292 -4.2182 2.7336
-2.2012 2.6232 3.9438
C Hf Zr Cd
1 1 2 1
Direct
0.5000 0.5000 0.5000 C
0.0000 0.0000 0.0000 Hf
0.0000 0.5000 0.0000 Zr
0.5000 0.0000 0.0000 Zr
0.0000 0.0000 0.5000 Cd
```

## Properties
Total moment (μB per formula unit): 1.29
Energy of formation (meV per atom): 2387
Uncorrected energy (eV/atom): -5.517

No. 9
VASP calculation (PBEsol) on crystalline Y3Mn at its relaxed geometry.

Structure (POSCAR):
```
Y3Mn
1.0
3.5232 0.0000 0.0000
0.0000 5.1991 0.0000
0.0000 0.0000 5.7174
Y Mn
3 1
Direct
0.5000 0.5000 0.8530 Y
0.5000 0.0000 0.4833 Y
0.0000 0.5000 0.3267 Y
0.0000 0.0000 0.0037 Mn
```

## Properties
Total moment (μB per formula unit): 2.42
Energy of formation (meV per atom): 320
Uncorrected energy (eV/atom): -7.236

No. 10
VASP calculation (PBEsol) on crystalline EuAlSi at its relaxed geometry.

Structure (POSCAR):
```
EuAlSi
1.0
-1.8181 0.3407 3.7748
-2.1957 -1.4807 -3.2645
1.2448 -3.9547 0.9565
Si Eu Al
1 1 1
Direct
0.3333 0.6667 0.5000 Si
0.0000 0.0000 0.0000 Eu
0.6667 0.3333 0.5000 Al
```

## Properties
Uncorrected formation energy (meV/atom): -539
Total moment (μB per formula unit): 7.03
Uncorrected energy (eV/atom): -7.339